Computed, not measured: crystalline CdNi2P at its relaxed geometry at the PBE level of DFT.

Cell: 3.068 3.068 6.110 Å, 90.00 90.00 90.00°
Fractional positions:
Cd: 0.000 0.000 0.000
Ni: 0.000 0.000 0.505
Ni: 0.500 0.500 0.269
P: 0.500 0.500 0.630

Output
symmetry	P4mm, No. 99
VASP energy	-4.568	eV per atom
mass density	7.5	Mg/m³
spin magnetization	0.000	μB/f.u.